A.
K2Na3: relaxed, PBE-GGA.

POSCAR file:
```
K2Na3
1.0
0.000 10.083 3.909
6.458 0.000 3.909
6.458 10.083 0.000
K Na
4 6
Direct
0.229 0.771 0.373
0.623 0.877 0.479
0.771 0.229 0.627
0.877 0.623 0.021
0.179 0.809 0.056
0.194 0.293 0.071
0.293 0.194 0.441
0.326 0.326 0.674
0.576 0.576 0.924
0.809 0.179 0.957
```

B.
K2Na3: relaxed, PBE-GGA.

POSCAR file:
```
K2Na3
1.0
5.539 3.198 4.946
-5.539 3.198 4.946
0.000 -6.396 4.946
K Na
4 6
Direct
0.124 0.124 0.124
0.376 0.376 0.376
0.624 0.624 0.624
0.876 0.876 0.876
0.074 0.750 0.426
0.250 0.574 0.926
0.426 0.074 0.750
0.574 0.926 0.250
0.750 0.426 0.074
0.926 0.250 0.574
```

Winner for stability: A